Entry from Alexandria via LeMat-Bulk: a relaxed structure of Hf2NbGe4 (PBE-GGA).

Unit cell a=4.8984 b=4.8984 c=7.5284 alpha=71.01 beta=71.01 gamma=90.00
With the nearest neighbours (Å) after each atom.
Atoms (fractional coordinates):
Ge (0.8053, 0.8053, 0.3894)  1 Nb 2.60, 1 Hf 2.65
Ge (0.5000, 0.0000, 0.0000)  2 Nb 2.45
Ge (0.1947, 0.1947, 0.6106)  1 Nb 2.60, 1 Hf 2.65
Hf (0.6072, 0.6072, 0.7855)  5 Ge 2.65-2.84, 1 Hf 2.87
Ge (0.0000, 0.5000, 0.0000)  2 Nb 2.45
Nb (0.0000, 0.0000, 0.0000)  6 Ge 2.45-2.60
Hf (0.3928, 0.3928, 0.2145)  5 Ge 2.65-2.84, 1 Hf 2.87

* formation enthalpy at 0 K: 1.17 eV/f.u.